# SrTaZn2Au, optimized geometry, DFT PBE
# ΔE_f, kcal/mol of atoms: 7.16
# Electronic total energy, eV/atom: -3.56
# Symmetry: No. 123
data_SrTaZn2Au
_chemical_formula_sum 'Sr1 Ta1 Zn2 Au1'
_cell_length_a 5.121
_cell_length_b 5.098
_cell_length_c 5.121
_cell_angle_alpha 90.00
_cell_angle_beta 90.00
_cell_angle_gamma 90.00
_space_group_name_H-M_alt 'P 1'
_space_group_IT_number 1
_space_group_name_Hall 'P 1'
loop_
_atom_site_label
_atom_site_type_symbol
_atom_site_fract_x
_atom_site_fract_y
_atom_site_fract_z
Zn1 Zn 0.500 0.000 0.000
Ta1 Ta 0.000 0.000 0.000
Au1 Au 0.000 0.500 0.000
Sr1 Sr 0.500 0.500 0.500
Zn2 Zn 0.000 0.000 0.500


# SrTbAu2, optimized geometry, DFT PBE
# ΔE_f, kcal/mol of atoms: -18.41
# Distance to the lowest polymorph of the same formula, meV per atom: 0
# Electronic total energy, eV/atom: -4.01
# Symmetry: No. 123
data_SrTbAu2
_chemical_formula_sum 'Sr1 Tb1 Au2'
_cell_length_a 3.716
_cell_length_b 3.716
_cell_length_c 7.534
_cell_angle_alpha 90.00
_cell_angle_beta 90.00
_cell_angle_gamma 90.00
_space_group_name_H-M_alt 'P 1'
_space_group_IT_number 1
_space_group_name_Hall 'P 1'
loop_
_atom_site_label
_atom_site_type_symbol
_atom_site_fract_x
_atom_site_fract_y
_atom_site_fract_z
Au1 Au 0.000 0.000 0.789
Au2 Au 0.000 0.000 0.211
Tb1 Tb 0.500 0.500 0.000
Sr1 Sr 0.500 0.500 0.500